! Ac3MnC2N6 (PBE-GGA, optimized geometry); values from VASP
! ΔE_f (raw): -6.9 eV/f.u.
! ρ: 7.8 g cm⁻³
! calculated total energy: -96.8 eV per cell
&SYSTEM
  ibrav = 0, nat = 12, ntyp = 4
/
ATOMIC_SPECIES
Ac 227.00 Ac.upf
Mn 54.94 Mn.upf
C 12.01 C.upf
N 14.01 N.upf
CELL_PARAMETERS angstrom
5.493 0.000 0.000
-2.747 4.757 0.000
0.000 0.000 6.884
ATOMIC_POSITIONS crystal
Ac 0.000 0.000 0.000
Ac 0.333 0.667 0.672
Ac 0.667 0.333 0.328
Mn 0.000 0.000 0.500
C 0.333 0.667 0.279
C 0.667 0.333 0.721
N 0.188 0.376 0.287
N 0.188 0.812 0.287
N 0.376 0.188 0.713
N 0.624 0.812 0.287
N 0.812 0.188 0.713
N 0.812 0.624 0.713